No. 1
VASP calculation (PBE) on V2CrIr5Ru after structural relaxation.

Results
- N(E_F) (states/eV/cell) = 44.2
- calculated total energy (eV/cell) = -315.1
- formation energy (eV per formula unit) = 2.7

Lattice parameters (Å, degrees): 7.1293 7.1293 10.7762 90.00 90.00 90.00
Space group I4/mcm (No. 140)
Symmetry-distinct sites (fractional):
1 V 0.1056 0.3944 0.0000 (multiplicity 8)
2 Cr 0.0000 0.0000 0.2500 (multiplicity 4)
3 Ir 0.0000 0.0000 0.0000 (multiplicity 4)
4 Ir 0.2031 0.2969 0.3731 (multiplicity 16)
5 Ru 0.0000 0.5000 0.2500 (multiplicity 4)

No. 2
VASP calculation (PBE) on Zr7Bi2H2Au after structural relaxation.

Results
- N(E_F) (states/eV/cell) = 13.9
- calculated total energy (eV/cell) = -164.1

Lattice parameters (Å, degrees): 6.0742 6.0785 12.9960 90.00 103.37 90.00
Space group C2/m (No. 12)
Symmetry-distinct sites (fractional):
1 Zr 0.0000 0.0000 0.0000 (multiplicity 2)
2 Zr 0.1599 0.2499 0.8182 (multiplicity 8)
3 Zr 0.1997 0.0000 0.4040 (multiplicity 4)
4 Bi 0.1787 0.5000 0.3609 (multiplicity 4)
5 H 0.0828 0.0000 0.1666 (multiplicity 4)
6 Au 0.0000 0.5000 0.0000 (multiplicity 2)

No. 3
VASP calculation (PBE) on HfCoCuAg2 after structural relaxation.

Results
- N(E_F) (states/eV/cell) = 5.1
- calculated total energy (eV/cell) = -18.4
- formation energy (eV per formula unit) = 8.5

Lattice parameters (Å, degrees): 5.2001 5.2001 4.8315 90.00 90.00 90.00
Space group P4/mmm (No. 123)
Symmetry-distinct sites (fractional):
1 Hf 0.0000 0.0000 0.0000 (multiplicity 1)
2 Co 0.5000 0.5000 0.5000 (multiplicity 1)
3 Cu 0.0000 0.0000 0.5000 (multiplicity 1)
4 Ag 0.0000 0.5000 0.0000 (multiplicity 2)

No. 4
VASP calculation (PBE) on TlSnB2W after structural relaxation.

Results
- N(E_F) (states/eV/cell) = 3.8
- calculated total energy (eV/cell) = -20.2
- formation energy (eV per formula unit) = 12.5

Lattice parameters (Å, degrees): 4.3404 4.3404 5.8403 90.00 90.00 90.00
Space group P4/mmm (No. 123)
Symmetry-distinct sites (fractional):
1 Tl 0.0000 0.0000 0.0000 (multiplicity 1)
2 Sn 0.0000 0.0000 0.5000 (multiplicity 1)
3 B 0.0000 0.5000 0.5000 (multiplicity 2)
4 W 0.5000 0.5000 0.0000 (multiplicity 1)

No. 5
VASP calculation (PBE) on NbReHg2C after structural relaxation.

Results
- N(E_F) (states/eV/cell) = 4.6
- calculated total energy (eV/cell) = -20.6
- formation energy (eV per formula unit) = 11.7

Lattice parameters (Å, degrees): 5.3091 5.3091 4.7172 90.00 90.00 90.00
Space group P4/mmm (No. 123)
Symmetry-distinct sites (fractional):
1 Nb 0.0000 0.0000 0.0000 (multiplicity 1)
2 Re 0.0000 0.0000 0.5000 (multiplicity 1)
3 Hg 0.0000 0.5000 0.5000 (multiplicity 2)
4 C 0.5000 0.5000 0.0000 (multiplicity 1)

No. 6
VASP calculation (PBE) on AcMgScZn after structural relaxation.

Results
- N(E_F) (states/eV/cell) = 20.6
- calculated total energy (eV/cell) = -54.2
- formation energy (eV per formula unit) = -0.2

Lattice parameters (Å, degrees): 7.5334 7.5334 7.5334 90.00 90.00 90.00
Space group F-43m (No. 216)
Symmetry-distinct sites (fractional):
1 Ac 0.0000 0.0000 0.0000 (multiplicity 4)
2 Mg 0.2500 0.2500 0.7500 (multiplicity 4)
3 Sc 0.0000 0.0000 0.5000 (multiplicity 4)
4 Zn 0.2500 0.2500 0.2500 (multiplicity 4)